Record 1
Compound: Sc2CrOs
Source: the Alexandria database
Functional: meta-GGA SCAN
Structure: PBEsol geometry

Computed properties:
**Crystal system**: tetragonal
**DFT total energy**: -1.10152 Ha/atom
**Space group**: P4/mmm (123)

Lattice parameters (Å, degrees): 4.498 4.498 3.273 90.00 90.00 90.00
Element x y z (fractional)
Sc (0.000, 0.500, 0.000)
Sc (0.500, 0.000, 0.000)
Cr (0.000, 0.000, 0.500)
Os (0.500, 0.500, 0.500)

=====

Record 2
Compound: TaMnGe
Source: the Alexandria database
Functional: meta-GGA SCAN
Structure: PBEsol geometry

Computed properties:
**Crystal system**: hexagonal
**DFT total energy**: -1.28501 Ha/atom
**Space group**: P-62m (189)

Lattice parameters (Å, degrees): 6.411 6.411 3.528 90.00 90.00 120.00
Element x y z (fractional)
Ta (0.000, 0.413, 0.000)
Ta (0.413, 0.000, 0.000)
Ta (0.587, 0.587, 0.000)
Mn (0.000, 0.753, 0.500)
Mn (0.247, 0.247, 0.500)
Mn (0.753, 0.000, 0.500)
Ge (0.000, 0.000, 0.000)
Ge (0.333, 0.667, 0.500)
Ge (0.667, 0.333, 0.500)

=====

Record 3
Compound: Sc2ReW
Source: the Alexandria database
Functional: meta-GGA SCAN
Structure: PBEsol geometry

Computed properties:
**Crystal system**: tetragonal
**DFT total energy**: -1.54736 Ha/atom
**Space group**: P4/mmm (123)

Lattice parameters (Å, degrees): 3.842 3.842 4.659 90.00 90.00 90.00
Element x y z (fractional)
Sc (0.000, 0.500, 0.000)
Sc (0.500, 0.000, 0.000)
Re (0.000, 0.000, 0.500)
W (0.500, 0.500, 0.500)

=====

Record 4
Compound: TeRu2Pb
Source: the Alexandria database
Functional: meta-GGA SCAN
Structure: PBEsol geometry

Computed properties:
**Raw formation energy**: 0.51 eV/atom
**Crystal system**: trigonal
**Space group**: R3m (160)

Lattice parameters (Å, degrees): 10.243 10.243 10.243 17.10 17.10 17.10
Element x y z (fractional)
Te (0.000, 0.000, 0.000)
Ru (0.264, 0.264, 0.264)
Ru (0.534, 0.534, 0.534)
Pb (0.789, 0.789, 0.789)

=====

no.,magnetization (μB/f.u.),mass density (g/cm³)
1,3.5,8.33
2,1.1,12.24
3,0.0,11.10
4,0.0,11.00